Entry from the Alexandria database: an optimized crystal structure of NpWC (PBE).

Computed properties:
The value obtained for the total magnetic moment is 2.1 Bohr magnetons per cell. The calculation puts the raw total energy at -11.5416 eV/atom. For the density of states at the Fermi level, the calculation gives 4.00 states/eV/cell.

Cell: 3.0173 3.0173 5.6150 Å, 90.00 90.00 120.00°
Space group P3m1 (No. 156)
One atom of each set of equivalent atoms:
Np: 0.0000 0.0000 0.0000 (multiplicity 1)
W: 0.6667 0.3333 0.4961 (multiplicity 1)
C: 0.3333 0.6667 0.7064 (multiplicity 1)


Entry from the Alexandria database: an optimized crystal structure of NpWC2 (PBE).

Computed properties:
The value obtained for the total magnetic moment is 7.1 Bohr magnetons per cell. The calculation puts the raw total energy at -11.1698 eV/atom. For the density of states at the Fermi level, the calculation gives 10.31 states/eV/cell.

Cell: 3.2102 3.2102 16.5224 Å, 90.00 90.00 120.00°
Space group R-3m (No. 166, hexagonal axes)
One atom of each set of equivalent atoms:
Np: 0.0000 0.0000 0.0000 (multiplicity 3)
W: 0.0000 0.0000 0.5000 (multiplicity 3)
C: 0.0000 0.0000 0.2400 (multiplicity 6)


Entry from the Alexandria database: an optimized crystal structure of YNpC (PBE).

Computed properties:
The value obtained for the total magnetic moment is 2.7 Bohr magnetons per cell. The calculation puts the raw total energy at -9.0705 eV/atom. For the density of states at the Fermi level, the calculation gives 15.19 states/eV/cell.

Cell: 3.709 13.647 4.624 Å, 90.00 90.00 90.00°
Space group Cmcm (No. 63)
One atom of each set of equivalent atoms:
Y: 0.000 0.176 0.250 (multiplicity 4)
Np: 0.000 0.500 0.000 (multiplicity 4)
C: 0.000 0.352 0.250 (multiplicity 4)


Entry from the Alexandria database: an optimized crystal structure of YNpC (PBE).

Computed properties:
The value obtained for the total magnetic moment is 4.2 Bohr magnetons per cell. The calculation puts the raw total energy at -9.4583 eV/atom. For the density of states at the Fermi level, the calculation gives 7.01 states/eV/cell.

Cell: 3.4247 3.4247 6.2447 Å, 90.00 90.00 120.00°
Space group P3m1 (No. 156)
One atom of each set of equivalent atoms:
Y: 0.0000 0.0000 0.0000 (multiplicity 1)
Np: 0.6667 0.3333 0.5421 (multiplicity 1)
C: 0.3333 0.6667 0.7582 (multiplicity 1)


Entry from the Alexandria database: an optimized crystal structure of Y2NpC (PBE).

Computed properties:
The value obtained for the total magnetic moment is 15.1 Bohr magnetons per cell. The calculation puts the raw total energy at -8.5199 eV/atom. For the density of states at the Fermi level, the calculation gives 25.32 states/eV/cell.

Cell: 3.4697 3.4697 29.1989 Å, 90.00 90.00 120.00°
Space group R-3m (No. 166, hexagonal axes)
One atom of each set of equivalent atoms:
Y: 0.0000 0.0000 0.1195 (multiplicity 6)
Np: 0.0000 0.0000 0.0000 (multiplicity 3)
C: 0.0000 0.0000 0.5000 (multiplicity 3)


Entry from the Alexandria database: an optimized crystal structure of Np2ZnC (PBE).

Computed properties:
The value obtained for the total magnetic moment is 17.1 Bohr magnetons per cell. The calculation puts the raw total energy at -8.7451 eV/atom. For the density of states at the Fermi level, the calculation gives 17.93 states/eV/cell.

Cell: 3.0388 3.0388 28.1598 Å, 90.00 90.00 120.00°
Space group R-3m (No. 166, hexagonal axes)
One atom of each set of equivalent atoms:
Np: 0.0000 0.0000 0.1122 (multiplicity 6)
Zn: 0.0000 0.0000 0.0000 (multiplicity 3)
C: 0.0000 0.0000 0.5000 (multiplicity 3)


Entry from the Alexandria database: an optimized crystal structure of ZrNpC2 (PBE).

Computed properties:
The value obtained for the total magnetic moment is 7.3 Bohr magnetons per cell. The calculation puts the raw total energy at -10.3213 eV/atom. For the density of states at the Fermi level, the calculation gives 11.94 states/eV/cell.

Cell: 3.3832 3.3832 17.1395 Å, 90.00 90.00 120.00°
Space group R-3m (No. 166, hexagonal axes)
One atom of each set of equivalent atoms:
Zr: 0.0000 0.0000 0.0000 (multiplicity 3)
Np: 0.0000 0.0000 0.5000 (multiplicity 3)
C: 0.0000 0.0000 0.2515 (multiplicity 6)


Entry from the Alexandria database: an optimized crystal structure of Zr2NpC3 (PBE).

Computed properties:
The value obtained for the total magnetic moment is 10.1 Bohr magnetons per cell. The calculation puts the raw total energy at -10.1088 eV/atom. For the density of states at the Fermi level, the calculation gives 20.60 states/eV/cell.

Cell: 6.802 4.783 10.207 Å, 90.00 90.00 90.00°
Space group Pnma (No. 62)
One atom of each set of equivalent atoms:
Zr: 0.121 0.250 0.084 (multiplicity 4)
Zr: 0.125 0.250 0.751 (multiplicity 4)
Np: 0.125 0.250 0.417 (multiplicity 4)
C: 0.125 0.750 0.752 (multiplicity 4)
C: 0.131 0.750 0.413 (multiplicity 4)
C: 0.134 0.750 0.078 (multiplicity 4)


Entry from the Alexandria database: an optimized crystal structure of Zr3NpC4 (PBE).

Computed properties:
The value obtained for the total magnetic moment is 4.4 Bohr magnetons per cell. The calculation puts the raw total energy at -10.0178 eV/atom. For the density of states at the Fermi level, the calculation gives 10.73 states/eV/cell.

Cell: 4.782 4.782 9.543 Å, 90.00 90.00 90.00°
Space group I4/mmm (No. 139)
One atom of each set of equivalent atoms:
Zr: 0.000 0.000 0.000 (multiplicity 2)
Zr: 0.000 0.500 0.250 (multiplicity 4)
Np: 0.000 0.000 0.500 (multiplicity 2)
C: 0.000 0.000 0.259 (multiplicity 4)
C: 0.000 0.500 0.000 (multiplicity 4)


Entry from the Alexandria database: an optimized crystal structure of Zr2NpC (PBE).

Computed properties:
The value obtained for the total magnetic moment is 14.6 Bohr magnetons per cell. The calculation puts the raw total energy at -9.9981 eV/atom. For the density of states at the Fermi level, the calculation gives 17.23 states/eV/cell.

Cell: 3.2656 3.2656 24.9628 Å, 90.00 90.00 120.00°
Space group R-3m (No. 166, hexagonal axes)
One atom of each set of equivalent atoms:
Zr: 0.0000 0.0000 0.2195 (multiplicity 6)
Np: 0.0000 0.0000 0.0000 (multiplicity 3)
C: 0.0000 0.0000 0.5000 (multiplicity 3)


Entry from the Alexandria database: an optimized crystal structure of OsCO2 (PBE).

Computed properties:
The value obtained for the total magnetic moment is 0.0 Bohr magnetons per cell. The calculation puts the raw total energy at -6.1639 eV/atom. For the density of states at the Fermi level, the calculation gives 6.60 states/eV/cell.

Cell: 4.455 4.455 8.113 Å, 90.00 90.00 90.00°
Space group I-42d (No. 122)
One atom of each set of equivalent atoms:
Os: 0.000 0.000 0.000 (multiplicity 4)
C: 0.000 0.000 0.500 (multiplicity 4)
O: 0.151 0.250 0.625 (multiplicity 8)


Entry from the Alexandria database: an optimized crystal structure of OsCO2 (PBE).

Computed properties:
The value obtained for the total magnetic moment is 0.0 Bohr magnetons per cell. The calculation puts the raw total energy at -6.6454 eV/atom. For the density of states at the Fermi level, the calculation gives 7.04 states/eV/cell.

Cell: 2.6669 2.6669 17.7690 Å, 90.00 90.00 120.00°
Space group R-3m (No. 166, hexagonal axes)
One atom of each set of equivalent atoms:
Os: 0.0000 0.0000 0.0000 (multiplicity 3)
C: 0.0000 0.0000 0.5000 (multiplicity 3)
O: 0.0000 0.0000 0.1115 (multiplicity 6)


Entry from the Alexandria database: an optimized crystal structure of OsC3O (PBE).

Computed properties:
The value obtained for the total magnetic moment is 0.0 Bohr magnetons per cell. The calculation puts the raw total energy at -5.8737 eV/atom. For the density of states at the Fermi level, the calculation gives 2.59 states/eV/cell.

Cell: 3.469 3.469 3.469 Å, 90.00 90.00 90.00°
Space group Pm-3m (No. 221)
One atom of each set of equivalent atoms:
Os: 0.000 0.000 0.000 (multiplicity 1)
C: 0.000 0.500 0.500 (multiplicity 3)
O: 0.500 0.500 0.500 (multiplicity 1)


Entry from the Alexandria database: an optimized crystal structure of OsCO3 (PBE).

Computed properties:
The value obtained for the total magnetic moment is 0.0 Bohr magnetons per cell. The calculation puts the raw total energy at -5.6360 eV/atom. For the density of states at the Fermi level, the calculation gives 3.06 states/eV/cell.

Cell: 3.463 3.463 3.463 Å, 90.00 90.00 90.00°
Space group Pm-3m (No. 221)
One atom of each set of equivalent atoms:
Os: 0.000 0.000 0.000 (multiplicity 1)
C: 0.500 0.500 0.500 (multiplicity 1)
O: 0.000 0.500 0.500 (multiplicity 3)


Entry from the Alexandria database: an optimized crystal structure of OsC2O (PBE).

Computed properties:
The value obtained for the total magnetic moment is 0.0 Bohr magnetons per cell. The calculation puts the raw total energy at -7.3586 eV/atom. For the density of states at the Fermi level, the calculation gives 3.50 states/eV/cell.

Cell: 4.442 4.442 8.778 Å, 90.00 90.00 90.00°
Space group I-42d (No. 122)
One atom of each set of equivalent atoms:
Os: 0.000 0.000 0.000 (multiplicity 4)
C: 0.243 0.250 0.625 (multiplicity 8)
O: 0.000 0.000 0.500 (multiplicity 4)


Entry from the Alexandria database: an optimized crystal structure of OsCO3 (PBE).

Computed properties:
The value obtained for the total magnetic moment is 2.0 Bohr magnetons per cell. The calculation puts the raw total energy at -6.2892 eV/atom. For the density of states at the Fermi level, the calculation gives 3.16 states/eV/cell.

Cell: 3.793 3.793 3.793 Å, 90.00 90.00 90.00°
Space group Pm-3m (No. 221)
One atom of each set of equivalent atoms:
Os: 0.000 0.000 0.000 (multiplicity 1)
C: 0.500 0.500 0.500 (multiplicity 1)
O: 0.000 0.000 0.500 (multiplicity 3)


Entry from the Alexandria database: an optimized crystal structure of OsCO2 (PBE).

Computed properties:
The value obtained for the total magnetic moment is 2.3 Bohr magnetons per cell. The calculation puts the raw total energy at -7.6334 eV/atom. For the density of states at the Fermi level, the calculation gives 6.05 states/eV/cell.

Cell: 2.6957 2.6957 31.8846 Å, 90.00 90.00 120.00°
Space group R-3m (No. 166, hexagonal axes)
One atom of each set of equivalent atoms:
Os: 0.0000 0.0000 0.0000 (multiplicity 3)
C: 0.0000 0.0000 0.5000 (multiplicity 3)
O: 0.0000 0.0000 0.4632 (multiplicity 6)


Entry from the Alexandria database: an optimized crystal structure of P2OsCO (PBE).

Computed properties:
The value obtained for the total magnetic moment is 0.0 Bohr magnetons per cell. The calculation puts the raw total energy at -6.0414 eV/atom. For the density of states at the Fermi level, the calculation gives 2.61 states/eV/cell.

Cell: 3.821 3.821 3.762 Å, 90.00 90.00 90.00°
Space group P4/mmm (No. 123)
One atom of each set of equivalent atoms:
P: 0.000 0.500 0.000 (multiplicity 2)
Os: 0.000 0.000 0.500 (multiplicity 1)
C: 0.500 0.500 0.000 (multiplicity 1)
O: 0.500 0.500 0.500 (multiplicity 1)


Entry from the Alexandria database: an optimized crystal structure of P2OsCO (PBE).

Computed properties:
The value obtained for the total magnetic moment is 0.9 Bohr magnetons per cell. The calculation puts the raw total energy at -5.8820 eV/atom. For the density of states at the Fermi level, the calculation gives 3.70 states/eV/cell.

Cell: 4.687 4.687 3.646 Å, 90.00 90.00 90.00°
Space group P4/mmm (No. 123)
One atom of each set of equivalent atoms:
P: 0.000 0.500 0.000 (multiplicity 2)
Os: 0.000 0.000 0.000 (multiplicity 1)
C: 0.500 0.500 0.500 (multiplicity 1)
O: 0.000 0.000 0.500 (multiplicity 1)


Entry from the Alexandria database: an optimized crystal structure of OsPd2CO (PBE).

Computed properties:
The value obtained for the total magnetic moment is 0.4 Bohr magnetons per cell. The calculation puts the raw total energy at -5.5151 eV/atom. For the density of states at the Fermi level, the calculation gives 5.60 states/eV/cell.

Cell: 4.957 4.957 3.611 Å, 90.00 90.00 90.00°
Space group P4/mmm (No. 123)
One atom of each set of equivalent atoms:
Os: 0.000 0.000 0.000 (multiplicity 1)
Pd: 0.000 0.500 0.000 (multiplicity 2)
C: 0.500 0.500 0.500 (multiplicity 1)
O: 0.000 0.000 0.500 (multiplicity 1)